Entry 1:
Be2AlZn | GGA-PBE | relaxed

a = 4.4313 Å, b = 4.4313 Å, c = 2.6244 Å
α = 90.00°, β = 90.00°, γ = 108.87°
Last column: nearest neighbours and their distance in Å.
Atoms (fractional coordinates):
Al (0.0000, 0.5000, 0.5000)  8 Be 2.58, 2 Zn 2.58, 2 Al 2.62
Zn (0.5000, 0.0000, 0.5000)  8 Be 2.58, 2 Al 2.58, 2 Zn 2.62
Be (0.5000, 0.5000, 0.0000)  4 Zn 2.58, 4 Al 2.58, 4 Be 2.58-2.62
Be (0.0000, 0.0000, 0.0000)  4 Al 2.58, 4 Zn 2.58, 4 Be 2.58-2.62

Summary:
Polymorph energy (0 for the lowest one) (meV/atom): 86
DFT formation energy (meV per atom): 263
VASP energy (eV/cell): -11.42
Total magnetic moment (μB/atom): 0.000

***

Entry 2:
Be2AlZn | GGA-PBE | relaxed

a = 4.4568 Å, b = 4.4568 Å, c = 2.4988 Å
α = 90.00°, β = 90.00°, γ = 90.00°
Last column: nearest neighbours and their distance in Å.
Atoms (fractional coordinates):
Be (0.5000, 0.5000, 0.0000)  2 Be 2.50, 4 Al 2.55, 4 Zn 2.55
Be (0.0000, 0.0000, 0.0000)  2 Be 2.50, 4 Zn 2.55, 4 Al 2.55
Zn (0.5000, 0.0000, 0.5000)  2 Zn 2.50, 8 Be 2.55
Al (0.0000, 0.5000, 0.5000)  2 Al 2.50, 8 Be 2.55

Summary:
Polymorph energy (0 for the lowest one) (meV/atom): 126
DFT formation energy (meV per atom): 303
VASP energy (eV/cell): -11.26
Total magnetic moment (μB/atom): 0.000

***

Entry 3:
BeAl2Zn | GGA-PBE | relaxed

a = 3.8879 Å, b = 3.8876 Å, c = 3.7630 Å
α = 90.00°, β = 90.00°, γ = 90.00°
Last column: nearest neighbours and their distance in Å.
Atoms (fractional coordinates):
Be (0.5000, 0.0000, 0.5000)  8 Al 2.71, 4 Zn 2.75
Al (0.0000, 0.0000, 0.0000)  4 Zn 2.71, 4 Be 2.71, 4 Al 2.75
Al (0.5000, 0.5000, 0.0000)  4 Be 2.71, 4 Zn 2.71, 4 Al 2.75
Zn (0.0000, 0.5000, 0.5000)  8 Al 2.71, 4 Be 2.75

Summary:
Polymorph energy (0 for the lowest one) (meV/atom): 63
DFT formation energy (meV per atom): 181
VASP energy (eV/cell): -11.76
Total magnetic moment (μB/atom): 0.000

***

Entry 4:
BeAl2Zn | GGA-PBE | relaxed

a = 4.0514 Å, b = 2.8039 Å, c = 5.1593 Å
α = 74.67°, β = 90.00°, γ = 90.00°
Last column: nearest neighbours and their distance in Å.
Atoms (fractional coordinates):
Zn (0.5000, 0.5574, 0.7588)  2 Be 2.47, 7 Al 2.68-2.70
Al (0.0000, 0.9553, 0.9705)  1 Be 2.51, 4 Zn 2.68, 2 Al 2.80
Al (0.5000, 0.2867, 0.2965)  4 Be 2.62, 3 Zn 2.68-2.70, 2 Al 2.80
Be (0.0000, 0.7005, 0.4741)  2 Zn 2.47, 5 Al 2.51-2.62

Summary:
Polymorph energy (0 for the lowest one) (meV/atom): 38
DFT formation energy (meV per atom): 156
VASP energy (eV/cell): -11.86
Total magnetic moment (μB/atom): 0.000

***

Question: VASP energy of number 4 (BeAl2Zn)?
Answer: -11.86 eV/cell

***

Question: Which of these has the highest DFT formation energy?
Answer: number 2

***

Question: Which formula does entry 4 have?
Answer: BeAl2Zn